[1]
Density functional theory data (PBE-GGA) for a relaxed LiReGe2Ru crystal.

Summary:
Energy relative to the elements = 0.76 eV per atom
Offset from the most stable computed form = 0 meV per atom

CIF file:
```
data_LiReGe2Ru
_cell_length_a 4.8099
_cell_length_b 4.8099
_cell_length_c 4.7941
_cell_angle_alpha 90.00
_cell_angle_beta 90.00
_cell_angle_gamma 90.00
_symmetry_space_group_name_H-M 'P 4/m m m'
_symmetry_Int_Tables_number 123
_symmetry_space_group_name_Hall '-P 4 2'
loop_
_atom_site_label
_atom_site_type_symbol
_atom_site_fract_x
_atom_site_fract_y
_atom_site_fract_z
Li1 Li 0.0000 0.0000 0.0000
Re1 Re 0.5000 0.5000 0.5000
Ge1 Ge 0.0000 0.5000 0.5000
Ru1 Ru 0.5000 0.5000 0.0000
```

***

[2]
Density functional theory data (PBE-GGA) for a relaxed LiReGe2Ru crystal.

Summary:
Energy relative to the elements = 1.08 eV per atom
Offset from the most stable computed form = 326 meV per atom

CIF file:
```
data_LiReGe2Ru
_cell_length_a 4.6651
_cell_length_b 4.6651
_cell_length_c 4.4187
_cell_angle_alpha 90.00
_cell_angle_beta 90.00
_cell_angle_gamma 90.00
_symmetry_space_group_name_H-M 'P 4/m m m'
_symmetry_Int_Tables_number 123
_symmetry_space_group_name_Hall '-P 4 2'
loop_
_atom_site_label
_atom_site_type_symbol
_atom_site_fract_x
_atom_site_fract_y
_atom_site_fract_z
Li1 Li 0.0000 0.0000 0.0000
Re1 Re 0.5000 0.5000 0.0000
Ge1 Ge 0.0000 0.5000 0.5000
Ru1 Ru 0.0000 0.0000 0.5000
```

***

[3]
Density functional theory data (PBE-GGA) for a relaxed LiRe2GeS crystal.

CIF file:
```
data_LiRe2GeS
_cell_length_a 4.3489
_cell_length_b 4.3489
_cell_length_c 5.0762
_cell_angle_alpha 90.00
_cell_angle_beta 90.00
_cell_angle_gamma 90.00
_symmetry_space_group_name_H-M 'P 4/m m m'
_symmetry_Int_Tables_number 123
_symmetry_space_group_name_Hall '-P 4 2'
loop_
_atom_site_label
_atom_site_type_symbol
_atom_site_fract_x
_atom_site_fract_y
_atom_site_fract_z
Li1 Li 0.0000 0.0000 0.0000
Re1 Re 0.0000 0.5000 0.5000
Ge1 Ge 0.5000 0.5000 0.0000
S1 S 0.5000 0.5000 0.5000
```

***

[4]
Density functional theory data (PBE-GGA) for a relaxed LiScReGe2 crystal.

Summary:
Energy relative to the elements = 0.23 eV per atom

CIF file:
```
data_LiScReGe2
_cell_length_a 4.8635
_cell_length_b 4.8635
_cell_length_c 5.0676
_cell_angle_alpha 90.00
_cell_angle_beta 90.00
_cell_angle_gamma 90.00
_symmetry_space_group_name_H-M 'P 4/m m m'
_symmetry_Int_Tables_number 123
_symmetry_space_group_name_Hall '-P 4 2'
loop_
_atom_site_label
_atom_site_type_symbol
_atom_site_fract_x
_atom_site_fract_y
_atom_site_fract_z
Li1 Li 0.0000 0.0000 0.0000
Sc1 Sc 0.5000 0.5000 0.0000
Re1 Re 0.5000 0.5000 0.5000
Ge1 Ge 0.0000 0.5000 0.5000
```

***

[5]
Density functional theory data (PBE-GGA) for a relaxed LiReGeW crystal.

Summary:
Energy relative to the elements = -0.02 eV per atom

CIF file:
```
data_LiReGeW
_cell_length_a 6.1161
_cell_length_b 6.1161
_cell_length_c 6.1161
_cell_angle_alpha 90.00
_cell_angle_beta 90.00
_cell_angle_gamma 90.00
_symmetry_space_group_name_H-M 'F -4 3 m'
_symmetry_Int_Tables_number 216
_symmetry_space_group_name_Hall 'F -4 2 3'
loop_
_atom_site_label
_atom_site_type_symbol
_atom_site_fract_x
_atom_site_fract_y
_atom_site_fract_z
Li1 Li 0.0000 0.0000 0.0000
Re1 Re 0.0000 0.0000 0.5000
Ge1 Ge 0.2500 0.2500 0.2500
W1 W 0.2500 0.2500 0.7500
```

***

[6]
Density functional theory data (PBE-GGA) for a relaxed LiGe3Rh crystal.

Summary:
Energy relative to the elements = 0.19 eV per atom
Offset from the most stable computed form = 397 meV per atom

CIF file:
```
data_LiGe3Rh
_cell_length_a 4.8377
_cell_length_b 4.8377
_cell_length_c 4.8377
_cell_angle_alpha 90.00
_cell_angle_beta 90.00
_cell_angle_gamma 90.00
_symmetry_space_group_name_H-M 'P m -3 m'
_symmetry_Int_Tables_number 221
_symmetry_space_group_name_Hall '-P 4 2 3'
loop_
_atom_site_label
_atom_site_type_symbol
_atom_site_fract_x
_atom_site_fract_y
_atom_site_fract_z
Li1 Li 0.0000 0.0000 0.0000
Ge1 Ge 0.0000 0.5000 0.5000
Rh1 Rh 0.5000 0.5000 0.5000
```

***

Across the entries above, DFT total energy takes the values -5.818 -5.492 -6.112 -5.753 -8.005 -4.434 eV/atom, respectively.